TaAlZnW2 | PBE | optimized geometry

Computed properties:
- V (Å³ per atom) = 19.4
- energy (eV for the cell shown) = -34.221
- space-group type = P4/mmm (123)

```
TaAlZnW2
1.0
4.538 0.000 0.000
0.000 4.717 0.000
0.000 0.000 4.538
W Ta Al Zn
2 1 1 1
Direct
0.500 0.000 0.000
0.000 0.000 0.500
0.000 0.500 0.000
0.000 0.000 0.000
0.500 0.500 0.500
```